# 1
CaLa5Ho3: optimized geometry, PBE-GGA.

Computed properties:
- Final energy: -4.338 eV/atom
- Space group: C2/c
- Crystal system: monoclinic

a = 10.850 Å, b = 10.850 Å, c = 7.462 Å
α = 109.81°, β = 109.81°, γ = 52.41°
Element x y z (fractional)
Ca (0.163, 0.837, 0.750)
Ca (0.837, 0.163, 0.250)
La (0.009, 0.665, 0.326)
La (0.208, 0.792, 0.250)
La (0.311, 0.327, 0.569)
La (0.327, 0.311, 0.069)
La (0.335, 0.991, 0.174)
La (0.665, 0.009, 0.826)
La (0.673, 0.689, 0.931)
La (0.689, 0.673, 0.431)
La (0.792, 0.208, 0.750)
La (0.991, 0.335, 0.674)
Ho (0.017, 0.655, 0.843)
Ho (0.345, 0.983, 0.657)
Ho (0.500, 0.500, 0.000)
Ho (0.500, 0.500, 0.500)
Ho (0.655, 0.017, 0.343)
Ho (0.983, 0.345, 0.157)


# 2
CaLa6Ho: optimized geometry, PBE-GGA.

Computed properties:
- Final energy: -4.489 eV/atom
- Space group: P4/mmm
- Crystal system: tetragonal

a = 5.261 Å, b = 5.261 Å, c = 10.521 Å
α = 90.00°, β = 90.00°, γ = 90.00°
Element x y z (fractional)
Ca (0.000, 0.000, 0.000)
La (0.000, 0.500, 0.257)
La (0.000, 0.500, 0.743)
La (0.500, 0.000, 0.257)
La (0.500, 0.000, 0.743)
La (0.500, 0.500, 0.000)
La (0.500, 0.500, 0.500)
Ho (0.000, 0.000, 0.500)


# 3
Ca2LaHo: optimized geometry, PBE-GGA.

Computed properties:
- Space group: R3m
- Crystal system: trigonal
- Offset from the most stable computed form: 0.0 meV/atom

a = 12.615 Å, b = 12.615 Å, c = 12.615 Å
α = 16.91°, β = 16.91°, γ = 16.91°
Element x y z (fractional)
Ca (0.000, 0.000, 0.000)
Ca (0.161, 0.161, 0.161)
La (0.581, 0.581, 0.581)
Ho (0.747, 0.747, 0.747)


# 4
CaLa4Ho3: optimized geometry, PBE-GGA.

Computed properties:
- Final energy: -4.298 eV/atom
- Space group: C2/m
- Crystal system: monoclinic

a = 9.149 Å, b = 9.149 Å, c = 3.500 Å
α = 100.96°, β = 100.96°, γ = 94.61°
Element x y z (fractional)
Ca (0.000, 0.000, 0.000)
La (0.113, 0.386, 0.250)
La (0.386, 0.113, 0.250)
La (0.614, 0.887, 0.750)
La (0.887, 0.614, 0.750)
Ho (0.248, 0.752, 0.500)
Ho (0.500, 0.500, 0.000)
Ho (0.752, 0.248, 0.500)


# 5
CaLa2Ho3: optimized geometry, PBE-GGA.

Computed properties:
- Final energy: -4.047 eV/atom
- Space group: P-3m1
- Crystal system: trigonal

a = 6.720 Å, b = 6.720 Å, c = 11.169 Å
α = 90.00°, β = 90.00°, γ = 120.00°
Element x y z (fractional)
Ca (0.333, 0.667, 0.435)
Ca (0.667, 0.333, 0.565)
La (0.000, 0.000, 0.000)
La (0.000, 0.000, 0.500)
La (0.333, 0.667, 0.077)
La (0.667, 0.333, 0.923)
Ho (0.168, 0.335, 0.756)
Ho (0.168, 0.832, 0.756)
Ho (0.335, 0.168, 0.244)
Ho (0.665, 0.832, 0.756)
Ho (0.832, 0.168, 0.244)
Ho (0.832, 0.665, 0.244)


# 6
Ca2LaHo: optimized geometry, PBE-GGA.

Computed properties:
- Space group: Fm-3m
- Crystal system: cubic
- Offset from the most stable computed form: 42.6 meV/atom

a = 5.947 Å, b = 5.947 Å, c = 5.947 Å
α = 60.00°, β = 60.00°, γ = 60.00°
Element x y z (fractional)
Ca (0.250, 0.250, 0.250)
Ca (0.750, 0.750, 0.750)
La (0.000, 0.000, 0.000)
Ho (0.500, 0.500, 0.500)


# 7
CaLaHo14: optimized geometry, PBE-GGA.

Computed properties:
- Final energy: -4.398 eV/atom
- Space group: P4/mmm
- Crystal system: tetragonal

a = 7.105 Å, b = 7.105 Å, c = 10.055 Å
α = 90.00°, β = 90.00°, γ = 90.00°
Element x y z (fractional)
Ca (0.000, 0.000, 0.000)
La (0.500, 0.500, 0.000)
Ho (0.000, 0.000, 0.500)
Ho (0.000, 0.500, 0.000)
Ho (0.000, 0.500, 0.500)
Ho (0.252, 0.252, 0.256)
Ho (0.252, 0.252, 0.744)
Ho (0.252, 0.748, 0.256)
Ho (0.252, 0.748, 0.744)
Ho (0.500, 0.000, 0.000)
Ho (0.500, 0.000, 0.500)
Ho (0.500, 0.500, 0.500)
Ho (0.748, 0.252, 0.256)
Ho (0.748, 0.252, 0.744)
Ho (0.748, 0.748, 0.256)
Ho (0.748, 0.748, 0.744)


# 8
CaLa12Ho3: optimized geometry, PBE-GGA.

Computed properties:
- Final energy: -4.660 eV/atom
- Space group: P4/mmm
- Crystal system: tetragonal

a = 5.235 Å, b = 5.235 Å, c = 20.951 Å
α = 90.00°, β = 90.00°, γ = 90.00°
Element x y z (fractional)
Ca (0.000, 0.000, 0.000)
La (0.000, 0.500, 0.130)
La (0.000, 0.500, 0.376)
La (0.000, 0.500, 0.624)
La (0.000, 0.500, 0.870)
La (0.500, 0.000, 0.130)
La (0.500, 0.000, 0.376)
La (0.500, 0.000, 0.624)
La (0.500, 0.000, 0.870)
La (0.500, 0.500, 0.000)
La (0.500, 0.500, 0.252)
La (0.500, 0.500, 0.500)
La (0.500, 0.500, 0.748)
Ho (0.000, 0.000, 0.252)
Ho (0.000, 0.000, 0.500)
Ho (0.000, 0.000, 0.748)


# 9
Ca2La5Ho: optimized geometry, PBE-GGA.

Computed properties:
- Final energy: -4.111 eV/atom
- Space group: I4/mmm
- Crystal system: tetragonal

a = 11.459 Å, b = 11.459 Å, c = 11.459 Å
α = 153.50°, β = 153.50°, γ = 37.82°
Element x y z (fractional)
Ca (0.249, 0.249, 0.000)
Ca (0.751, 0.751, 0.000)
La (0.000, 0.000, 0.000)
La (0.117, 0.617, 0.500)
La (0.383, 0.883, 0.500)
La (0.617, 0.117, 0.500)
La (0.883, 0.383, 0.500)
Ho (0.500, 0.500, 0.000)


# 10
Ca2La15Ho2: optimized geometry, PBE-GGA.

Computed properties:
- Final energy: -4.392 eV/atom
- Space group: R-3m
- Crystal system: trigonal

a = 9.077 Å, b = 9.077 Å, c = 9.077 Å
α = 80.96°, β = 80.96°, γ = 80.96°
Element x y z (fractional)
Ca (0.171, 0.171, 0.171)
Ca (0.829, 0.829, 0.829)
La (0.000, 0.500, 0.500)
La (0.138, 0.138, 0.648)
La (0.138, 0.648, 0.138)
La (0.208, 0.500, 0.792)
La (0.208, 0.792, 0.500)
La (0.352, 0.862, 0.862)
La (0.500, 0.000, 0.500)
La (0.500, 0.208, 0.792)
La (0.500, 0.500, 0.000)
La (0.500, 0.792, 0.208)
La (0.648, 0.138, 0.138)
La (0.792, 0.208, 0.500)
La (0.792, 0.500, 0.208)
La (0.862, 0.352, 0.862)
La (0.862, 0.862, 0.352)
Ho (0.405, 0.405, 0.405)
Ho (0.595, 0.595, 0.595)


# 11
Ca2LaHo: optimized geometry, PBE-GGA.

Computed properties:
- Space group: C2/m
- Crystal system: monoclinic
- Offset from the most stable computed form: 5.2 meV/atom

a = 6.586 Å, b = 6.586 Å, c = 6.405 Å
α = 99.58°, β = 99.58°, γ = 32.86°
Element x y z (fractional)
Ca (0.248, 0.248, 0.246)
Ca (0.752, 0.752, 0.754)
La (0.000, 0.000, 0.500)
Ho (0.500, 0.500, 0.000)


# 12
CaLa7Ho3: optimized geometry, PBE-GGA.

Computed properties:
- Final energy: -4.342 eV/atom
- Space group: C2/m
- Crystal system: monoclinic

a = 7.872 Å, b = 7.872 Å, c = 6.661 Å
α = 93.77°, β = 93.77°, γ = 82.27°
Element x y z (fractional)
Ca (0.000, 0.000, 0.000)
La (0.000, 0.000, 0.500)
La (0.074, 0.433, 0.757)
La (0.267, 0.267, 0.297)
La (0.433, 0.074, 0.757)
La (0.567, 0.926, 0.243)
La (0.733, 0.733, 0.703)
La (0.926, 0.567, 0.243)
Ho (0.336, 0.664, 0.500)
Ho (0.500, 0.500, 0.000)
Ho (0.664, 0.336, 0.500)


# 13
CaLaHoLu: optimized geometry, PBE-GGA.

Computed properties:
- Final energy: -3.878 eV/atom
- Space group: F-43m
- Crystal system: cubic

a = 5.787 Å, b = 5.787 Å, c = 5.787 Å
α = 60.00°, β = 60.00°, γ = 60.00°
Element x y z (fractional)
Ca (0.000, 0.000, 0.000)
La (0.250, 0.250, 0.250)
Ho (0.750, 0.750, 0.750)
Lu (0.500, 0.500, 0.500)


# 14
CaLa2Ho2Mg5: optimized geometry, PBE-GGA.

Computed properties:
- Final energy: -2.896 eV/atom
- Space group: P4/mbm
- Crystal system: tetragonal

a = 10.789 Å, b = 10.789 Å, c = 5.094 Å
α = 90.00°, β = 90.00°, γ = 90.00°
Element x y z (fractional)
Ca (0.000, 0.000, 0.000)
Ca (0.500, 0.500, 0.000)
La (0.175, 0.325, 0.000)
La (0.325, 0.825, 0.000)
La (0.675, 0.175, 0.000)
La (0.825, 0.675, 0.000)
Ho (0.119, 0.619, 0.000)
Ho (0.381, 0.119, 0.000)
Ho (0.619, 0.881, 0.000)
Ho (0.881, 0.381, 0.000)
Mg (0.000, 0.500, 0.500)
Mg (0.071, 0.798, 0.500)
Mg (0.202, 0.071, 0.500)
Mg (0.298, 0.571, 0.500)
Mg (0.429, 0.298, 0.500)
Mg (0.500, 0.000, 0.500)
Mg (0.571, 0.702, 0.500)
Mg (0.702, 0.429, 0.500)
Mg (0.798, 0.929, 0.500)
Mg (0.929, 0.202, 0.500)


# 15
CaLa2Nd2Ho2: optimized geometry, PBE-GGA.

Computed properties:
- Final energy: -4.304 eV/atom
- Space group: C2/m
- Crystal system: monoclinic

a = 6.374 Å, b = 6.374 Å, c = 8.215 Å
α = 97.75°, β = 97.75°, γ = 48.41°
Element x y z (fractional)
Ca (0.000, 0.000, 0.000)
La (0.144, 0.144, 0.432)
La (0.856, 0.856, 0.568)
Nd (0.283, 0.283, 0.855)
Nd (0.717, 0.717, 0.145)
Ho (0.425, 0.425, 0.293)
Ho (0.575, 0.575, 0.707)


# 16
CaLa3Nd6Ho2: optimized geometry, PBE-GGA.

Computed properties:
- Final energy: -4.504 eV/atom
- Space group: C2/m
- Crystal system: monoclinic

a = 6.407 Å, b = 6.407 Å, c = 12.134 Å
α = 95.05°, β = 95.05°, γ = 120.08°
Element x y z (fractional)
Ca (0.000, 0.000, 0.000)
La (0.167, 0.833, 0.500)
La (0.500, 0.500, 0.500)
La (0.833, 0.167, 0.500)
Nd (0.083, 0.424, 0.247)
Nd (0.258, 0.258, 0.753)
Nd (0.424, 0.083, 0.247)
Nd (0.576, 0.917, 0.753)
Nd (0.742, 0.742, 0.247)
Nd (0.917, 0.576, 0.753)
Ho (0.333, 0.667, 0.000)
Ho (0.667, 0.333, 0.000)


# 17
CaLaNd6Ho2: optimized geometry, PBE-GGA.

Computed properties:
- Final energy: -4.339 eV/atom
- Space group: C2/c
- Crystal system: monoclinic

a = 9.033 Å, b = 9.033 Å, c = 9.963 Å
α = 94.02°, β = 94.02°, γ = 118.04°
Element x y z (fractional)
Ca (0.097, 0.903, 0.750)
Ca (0.903, 0.097, 0.250)
La (0.471, 0.529, 0.250)
La (0.529, 0.471, 0.750)
Nd (0.007, 0.793, 0.379)
Nd (0.063, 0.526, 0.176)
Nd (0.207, 0.993, 0.121)
Nd (0.259, 0.612, 0.553)
Nd (0.388, 0.741, 0.947)
Nd (0.474, 0.937, 0.324)
Nd (0.526, 0.063, 0.676)
Nd (0.612, 0.259, 0.053)
Nd (0.741, 0.388, 0.447)
Nd (0.793, 0.007, 0.879)
Nd (0.937, 0.474, 0.824)
Nd (0.993, 0.207, 0.621)
Ho (0.201, 0.302, 0.954)
Ho (0.302, 0.201, 0.454)
Ho (0.698, 0.799, 0.546)
Ho (0.799, 0.698, 0.046)


# 18
CaLa2Pm6Ho3: optimized geometry, PBE-GGA.

Computed properties:
- Final energy: -4.472 eV/atom
- Space group: C2/m
- Crystal system: monoclinic

a = 6.330 Å, b = 6.330 Å, c = 12.063 Å
α = 95.02°, β = 95.02°, γ = 120.03°
Element x y z (fractional)
Ca (0.000, 0.000, 0.000)
La (0.333, 0.667, 0.000)
La (0.667, 0.333, 0.000)
Pm (0.086, 0.423, 0.258)
Pm (0.250, 0.250, 0.741)
Pm (0.423, 0.086, 0.258)
Pm (0.577, 0.914, 0.742)
Pm (0.750, 0.750, 0.259)
Pm (0.914, 0.577, 0.742)
Ho (0.166, 0.834, 0.500)
Ho (0.500, 0.500, 0.500)
Ho (0.834, 0.166, 0.500)


# 19
CaLa3Pm6Ho2: optimized geometry, PBE-GGA.

Computed properties:
- Final energy: -4.491 eV/atom
- Space group: C2/m
- Crystal system: monoclinic

a = 6.378 Å, b = 6.378 Å, c = 12.095 Å
α = 95.03°, β = 95.03°, γ = 120.06°
Element x y z (fractional)
Ca (0.000, 0.000, 0.000)
La (0.166, 0.834, 0.500)
La (0.500, 0.500, 0.500)
La (0.834, 0.166, 0.500)
Pm (0.083, 0.424, 0.247)
Pm (0.258, 0.258, 0.753)
Pm (0.424, 0.083, 0.247)
Pm (0.576, 0.917, 0.753)
Pm (0.742, 0.742, 0.247)
Pm (0.917, 0.576, 0.753)
Ho (0.333, 0.667, 0.000)
Ho (0.667, 0.333, 0.000)


# 20
CaLa2Pr6Ho3: optimized geometry, PBE-GGA.

Computed properties:
- Final energy: -4.494 eV/atom
- Space group: C2/m
- Crystal system: monoclinic

a = 6.392 Å, b = 6.392 Å, c = 12.136 Å
α = 95.03°, β = 95.03°, γ = 120.03°
Element x y z (fractional)
Ca (0.000, 0.000, 0.000)
La (0.333, 0.667, 0.000)
La (0.667, 0.333, 0.000)
Pr (0.086, 0.424, 0.258)
Pr (0.251, 0.251, 0.741)
Pr (0.424, 0.086, 0.258)
Pr (0.576, 0.914, 0.742)
Pr (0.749, 0.749, 0.259)
Pr (0.914, 0.576, 0.742)
Ho (0.166, 0.834, 0.500)
Ho (0.500, 0.500, 0.500)
Ho (0.834, 0.166, 0.500)


Here are the calculated density of states at the Fermi level numbers, same order: 28.94, 10.07, 6.43, 12.63, 21.04, 5.69, 18.81, 22.25, 14.59, 31.64, 7.27, 15.48, 6.36, 13.23, 11.47, 18.70, 30.13, 15.71, 19.14, 14.14 (states/eV/cell).